# Ac3Ag2Au9 PBE relaxed
data_Ac3Ag2Au9
_chemical_formula_sum 'Ac6 Ag4 Au18'
_cell_length_a 4.737
_cell_length_b 9.839
_cell_length_c 14.097
_cell_angle_alpha 90.00
_cell_angle_beta 90.00
_cell_angle_gamma 90.00
_symmetry_space_group_name_H-M 'I m m m'
_symmetry_Int_Tables_number 71
_symmetry_space_group_name_Hall '-I 2 2'
loop_
_atom_site_label
_atom_site_type_symbol
_atom_site_fract_x
_atom_site_fract_y
_atom_site_fract_z
Ac1 Ac 0.000 0.000 0.000
Ac2 Ac 0.000 0.000 0.296
Ag1 Ag 0.000 0.186 0.500
Au1 Au 0.000 0.285 0.130
Au2 Au 0.000 0.360 0.338
Au3 Au 0.000 0.500 0.000
# formation energy from the elements = -586 meV per atom
# E = -3.980 eV/atom